<a>
DFT (PBE-GGA) results for an optimized crystal structure of LiAg3Cl.

* magnetization: 0.00 μB per cell

Lattice parameters (Å, degrees): 5.139 5.139 5.139 90.00 90.00 90.00
Fractional coordinates of all 5 atoms:
Li1 0.000 0.000 0.000
Ag1 0.000 0.500 0.500
Ag2 0.500 0.000 0.500
Ag3 0.500 0.500 0.000
Cl1 0.500 0.500 0.500

<b>
DFT (PBE-GGA) results for an optimized crystal structure of LiAg3Cl.

* magnetization: 0.00 μB per cell

Lattice parameters (Å, degrees): 4.708 4.708 4.708 90.00 90.00 90.00
Fractional coordinates of all 5 atoms:
Li1 0.000 0.000 0.000
Ag1 0.000 0.000 0.500
Ag2 0.000 0.500 0.000
Ag3 0.500 0.000 0.000
Cl1 0.500 0.500 0.500

<b> (0.116 eV/atom below the next structure)

<a>
DFT (PBE-GGA) results for an optimized crystal structure of LiAg2Cl6.

* magnetization: 0.00 μB per cell

Lattice parameters (Å, degrees): 6.402 5.780 12.845 90.00 106.39 90.00
Fractional coordinates of all 18 atoms:
Li1 0.000 0.000 0.000
Li2 0.000 0.500 0.500
Ag1 0.337 0.033 0.830
Ag2 0.337 0.467 0.330
Ag3 0.663 0.533 0.670
Ag4 0.663 0.967 0.170
Cl1 0.053 0.719 0.348
Cl2 0.053 0.781 0.848
Cl3 0.297 0.236 0.986
Cl4 0.297 0.264 0.486
Cl5 0.380 0.685 0.175
Cl6 0.380 0.815 0.675
Cl7 0.620 0.185 0.325
Cl8 0.620 0.315 0.825
Cl9 0.703 0.736 0.514
Cl10 0.703 0.764 0.014
Cl11 0.947 0.219 0.152
Cl12 0.947 0.281 0.652

<b>
DFT (PBE-GGA) results for an optimized crystal structure of LiAg2Cl6.

* magnetization: 3.10 μB per cell

Lattice parameters (Å, degrees): 6.500 6.500 6.071 90.00 90.00 120.00
Fractional coordinates of all 9 atoms:
Li1 0.000 0.000 0.000
Ag1 0.333 0.667 0.000
Ag2 0.667 0.333 0.000
Cl1 0.000 0.333 0.769
Cl2 0.000 0.667 0.231
Cl3 0.333 0.000 0.769
Cl4 0.333 0.333 0.231
Cl5 0.667 0.000 0.231
Cl6 0.667 0.667 0.769

<a> (0.039 eV/atom below the next structure)

<a>
DFT (PBE-GGA) results for an optimized crystal structure of LiAgSCl2.

* magnetization: 1.14 μB per cell

Lattice parameters (Å, degrees): 5.191 5.191 4.804 90.00 90.00 90.00
Fractional coordinates of all 5 atoms:
Li1 0.000 0.000 0.000
Ag1 0.500 0.500 0.500
S1 0.500 0.500 0.000
Cl1 0.000 0.500 0.500
Cl2 0.500 0.000 0.500

<b>
DFT (PBE-GGA) results for an optimized crystal structure of LiAgSCl2.

* magnetization: 2.02 μB per cell

Lattice parameters (Å, degrees): 4.810 4.810 4.631 90.00 90.00 90.00
Fractional coordinates of all 5 atoms:
Li1 0.000 0.000 0.000
Ag1 0.500 0.500 0.500
S1 0.000 0.000 0.500
Cl1 0.000 0.500 0.000
Cl2 0.500 0.000 0.000

<a> (0.137 eV/atom below the next structure)